Material: LiPb2
Method: DFT, PBE-GGA
State: optimized geometry

Its volume is 27.3 Å³/atom. Its polymorph energy (0 for the lowest one) is 1.9 kJ per mole of atoms. The density is 8.56 Mg/m³. The value obtained for the calculated total energy is -19.56 eV for the cell shown.

The space group is Immm (No. 71) and the conventional cell measures 3.627, 4.680 and 9.633 Å, with angles of 90.00, 90.00 and 90.00 degrees. The inequivalent atoms are Li at (0.000, 0.000, 0.000) and Pb at (0.000, 0.000, 0.332).